First-principles (PBE-GGA) data for a relaxed structure of Y2InNi2, as listed in the Alexandria database.

Output
E: -5.97 eV/atom
Mass density: 6.571 g/cm³
Formation energy from the elements: -12.1 kcal/mol of atoms

The structure in POSCAR format:
```
Y2InNi2
1.0
7.401 0.025 0.000
-6.353 3.796 0.000
0.000 0.000 3.668
Ni Y In
2 2 1
Cartesian
4.654 0.778 0.000
-3.606 3.043 0.000
-1.373 2.430 1.834
2.420 1.390 1.834
0.000 0.000 0.000
```